Density functional theory data (GGA-PBE) for FeOsW2 after structural relaxation.

Summary:
Energy above the lowest structure with this stoichiometry ... 0.0 meV per atom
Energy relative to the elements ... 110 meV/atom
Size of the total moment ... 1.24 μB/f.u.

Lattice parameters (Å, degrees): 4.723 4.723 4.723 131.41 131.41 71.17
Fractional coordinates of all 4 atoms:
Fe 0.000 0.000 0.000
Os 0.500 0.500 0.000
W 0.250 0.750 0.500
W 0.750 0.250 0.500